! Tl3Hg6Pb, optimized geometry, DFT GGA-PBE; values from VASP
! - DFT formation energy: 44 meV/atom
! - Polymorph energy (0 for the lowest one): 0.53 eV per formula unit
! - Symmetry: P-31m
&SYSTEM
  ibrav = 0, nat = 10, ntyp = 3
/
ATOMIC_SPECIES
Hg 200.59 Hg.upf
Tl 204.38 Tl.upf
Pb 207.20 Pb.upf
CELL_PARAMETERS angstrom
6.161 0.000 0.000
-3.080 5.335 0.000
0.000 0.000 8.858
ATOMIC_POSITIONS crystal
Hg 0.568 0.000 0.184
Tl 0.000 0.000 0.500
Tl 0.333 0.667 0.500
Hg 0.432 0.000 0.816
Hg 0.000 0.568 0.184
Hg 0.432 0.432 0.184
Hg 0.568 0.568 0.816
Hg 0.000 0.432 0.816
Pb 0.000 0.000 0.000
Tl 0.667 0.333 0.500

! CeGdPt2, optimized geometry, DFT GGA-PBE; values from VASP
! - DFT formation energy: -1100 meV/atom
! - Polymorph energy (0 for the lowest one): 0.00 eV per formula unit
! - Symmetry: R-3m
&SYSTEM
  ibrav = 0, nat = 4, ntyp = 3
/
ATOMIC_SPECIES
Ce 140.12 Ce.upf
Gd 157.25 Gd.upf
Pt 195.08 Pt.upf
CELL_PARAMETERS angstrom
-1.569 3.360 -1.771
-0.098 0.308 -4.097
-6.665 -1.668 -2.027
ATOMIC_POSITIONS crystal
Ce 0.000 0.000 0.000
Gd 0.500 0.500 0.500
Pt 0.749 0.749 0.754
Pt 0.251 0.251 0.246

! Na3Sm2HfTe6, optimized geometry, DFT GGA-PBE; values from VASP
! - Symmetry: C2/m
! - Formation energy (no corrections): -1.138 eV/atom
&SYSTEM
  ibrav = 0, nat = 12, ntyp = 4
/
ATOMIC_SPECIES
Na 22.99 Na.upf
Te 127.60 Te.upf
Hf 178.49 Hf.upf
Sm 150.36 Sm.upf
CELL_PARAMETERS angstrom
-6.380 -0.961 -3.923
6.207 -3.871 -1.874
-2.011 -3.990 6.683
ATOMIC_POSITIONS crystal
Na 0.173 0.827 0.500
Na 0.827 0.173 0.500
Te 0.077 0.391 0.232
Te 0.391 0.077 0.232
Hf 0.000 0.000 0.000
Te 0.235 0.235 0.768
Te 0.923 0.609 0.768
Sm 0.334 0.666 0.000
Te 0.765 0.765 0.232
Te 0.609 0.923 0.768
Na 0.500 0.500 0.500
Sm 0.666 0.334 0.000

! Ba6Te3Se2Br, optimized geometry, DFT GGA-PBE; values from VASP
! - Symmetry: C2/m
! - Formation energy (no corrections): -1.852 eV/atom
&SYSTEM
  ibrav = 0, nat = 12, ntyp = 4
/
ATOMIC_SPECIES
Ba 137.33 Ba.upf
Se 78.96 Se.upf
Te 127.60 Te.upf
Br 79.90 Br.upf
CELL_PARAMETERS angstrom
-1.926 -0.043 -4.470
3.644 -8.893 -1.485
-8.568 -2.001 6.362
ATOMIC_POSITIONS crystal
Ba 0.330 0.903 0.659
Ba 0.995 0.743 0.989
Se 0.834 0.668 0.668
Ba 0.005 0.257 0.011
Te 0.500 0.500 0.000
Te 0.837 0.165 0.674
Ba 0.330 0.424 0.659
Se 0.166 0.332 0.332
Te 0.163 0.835 0.326
Ba 0.670 0.576 0.341
Ba 0.670 0.097 0.341
Br 0.500 0.000 0.000

! Ce2PmTh, optimized geometry, DFT GGA-PBE; values from VASP
! - DFT formation energy: 56 meV/atom
! - Polymorph energy (0 for the lowest one): 0.00 eV per formula unit
! - Symmetry: P4/mmm
&SYSTEM
  ibrav = 0, nat = 4, ntyp = 3
/
ATOMIC_SPECIES
Ce 140.12 Ce.upf
Th 232.04 Th.upf
Pm 145.00 Pm.upf
CELL_PARAMETERS angstrom
-2.660 -1.049 -1.998
-0.891 -2.350 2.420
-5.947 6.755 4.370
ATOMIC_POSITIONS crystal
Ce 0.000 0.000 0.739
Ce 0.000 0.000 0.261
Th 0.500 0.500 0.500
Pm 0.500 0.500 0.000

! CeDy3Bi3, optimized geometry, DFT GGA-PBE; values from VASP
! - DFT formation energy: -587 meV/atom
! - Symmetry: P6_3/m
&SYSTEM
  ibrav = 0, nat = 14, ntyp = 3
/
ATOMIC_SPECIES
Bi 208.98 Bi.upf
Dy 162.50 Dy.upf
Ce 140.12 Ce.upf
CELL_PARAMETERS angstrom
-0.804 3.168 -4.835
1.751 -7.462 -5.180
-8.665 1.857 2.657
ATOMIC_POSITIONS crystal
Bi 0.250 0.570 0.935
Bi 0.750 0.430 0.065
Dy 0.750 0.754 0.982
Dy 0.750 0.018 0.772
Ce 0.750 0.333 0.667
Bi 0.750 0.935 0.366
Dy 0.750 0.228 0.246
Bi 0.250 0.065 0.634
Ce 0.250 0.667 0.333
Dy 0.250 0.982 0.228
Dy 0.250 0.772 0.754
Dy 0.250 0.246 0.018
Bi 0.750 0.634 0.570
Bi 0.250 0.366 0.430

! Sr2HgGe2, optimized geometry, DFT GGA-PBE; values from VASP
! - DFT formation energy: -260 meV/atom
! - Symmetry: I4/mmm
&SYSTEM
  ibrav = 0, nat = 5, ntyp = 3
/
ATOMIC_SPECIES
Sr 87.62 Sr.upf
Hg 200.59 Hg.upf
Ge 72.64 Ge.upf
CELL_PARAMETERS angstrom
-5.588 0.776 2.042
1.886 -1.113 5.585
-0.996 4.368 4.429
ATOMIC_POSITIONS crystal
Sr 0.750 0.250 0.500
Hg 0.000 0.000 0.000
Ge 0.628 0.628 0.743
Sr 0.250 0.750 0.500
Ge 0.372 0.372 0.257

! BeSnP2O, optimized geometry, DFT GGA-PBE; values from VASP
! - Polymorph energy (0 for the lowest one): 0.00 eV per formula unit
! - Symmetry: P4/mmm
! - Formation energy (no corrections): -0.133 eV/atom
&SYSTEM
  ibrav = 0, nat = 5, ntyp = 4
/
ATOMIC_SPECIES
Sn 118.71 Sn.upf
P 30.97 P.upf
Be 9.01 Be.upf
O 16.00 O.upf
CELL_PARAMETERS angstrom
5.188 0.000 0.000
0.000 5.188 0.000
0.000 0.000 2.965
ATOMIC_POSITIONS crystal
Sn 0.500 0.500 0.500
P 0.000 0.500 0.000
Be 0.000 0.000 0.000
P 0.500 0.000 0.000
O 0.000 0.000 0.500

! CsTiTe2O8, optimized geometry, DFT GGA-PBE; values from VASP
! - Symmetry: P-3
! - Formation energy (no corrections): -1.449 eV/atom
&SYSTEM
  ibrav = 0, nat = 12, ntyp = 4
/
ATOMIC_SPECIES
Te 127.60 Te.upf
Cs 132.91 Cs.upf
O 16.00 O.upf
Ti 47.87 Ti.upf
CELL_PARAMETERS angstrom
-1.910 4.122 -3.044
-3.101 -4.418 0.875
-3.521 3.975 7.593
ATOMIC_POSITIONS crystal
Te 0.333 0.667 0.684
Cs 0.000 0.000 0.000
O 0.667 0.333 0.119
O 0.277 0.969 0.625
O 0.969 0.692 0.375
O 0.031 0.308 0.625
O 0.723 0.031 0.375
O 0.308 0.277 0.375
Te 0.667 0.333 0.316
Ti 0.000 0.000 0.500
O 0.333 0.667 0.881
O 0.692 0.723 0.625

! BaLi2TiF8, optimized geometry, DFT GGA-PBE; values from VASP
! - Symmetry: P-1
! - Formation energy (no corrections): -3.344 eV/atom
&SYSTEM
  ibrav = 0, nat = 12, ntyp = 4
/
ATOMIC_SPECIES
Li 6.94 Li.upf
Ti 47.87 Ti.upf
F 19.00 F.upf
Ba 137.33 Ba.upf
CELL_PARAMETERS angstrom
-0.539 -4.201 2.481
1.311 -3.465 -3.410
7.081 -1.142 1.981
ATOMIC_POSITIONS crystal
Li 0.453 0.452 0.714
Ti 0.000 0.000 0.000
F 0.257 0.231 0.940
F 0.647 0.682 0.495
F 0.743 0.769 0.060
F 0.796 0.218 0.808
F 0.353 0.318 0.505
Ba 0.000 0.000 0.500
Li 0.547 0.548 0.286
F 0.206 0.781 0.817
F 0.794 0.219 0.183
F 0.204 0.782 0.192

! RbAs2BrO, optimized geometry, DFT GGA-PBE; values from VASP
! - Symmetry: P4/mmm
! - Formation energy (no corrections): -0.246 eV/atom
&SYSTEM
  ibrav = 0, nat = 5, ntyp = 4
/
ATOMIC_SPECIES
Rb 85.47 Rb.upf
O 16.00 O.upf
As 74.92 As.upf
Br 79.90 Br.upf
CELL_PARAMETERS angstrom
4.337 0.000 0.000
0.000 4.337 0.000
0.000 0.000 7.946
ATOMIC_POSITIONS crystal
Rb 0.500 0.500 0.500
O 0.000 0.000 0.000
As 0.000 0.500 0.000
As 0.500 0.000 0.000
Br 0.000 0.000 0.500